The following is a DFT calculation (PBE) of crystalline LiScIn2 at its relaxed geometry.

abc: 3.282 4.548 6.130
angles: 90.00 90.00 90.00
Each line ends with the local moment (μB).
Fractional positions:
In (0.500, 0.500, 0.276)  0.01
In (0.000, 0.000, 0.969)  0.01
Li (0.000, 0.000, 0.484)  0.01
Sc (0.500, 0.500, 0.771)  0.28

Values from the calculation:
- Energy: -3.59 eV/atom
- ΔH_f (0 K): -0.16 eV/atom